Entry 1:
Material: KMg2Os
Method: DFT, PBE
State: optimized geometry

a = 4.570 Å, b = 2.833 Å, c = 8.176 Å
α = 90.53°, β = 90.00°, γ = 90.00°
Atoms (fractional coordinates):
K: 0.500 0.640 0.713
Mg: 0.500 0.123 0.324
Mg: 0.000 0.114 0.089
Os: 0.000 0.624 0.374

Energy relative to the elements   2.03 eV/f.u.
Distance to the lowest polymorph of the same formula   67 meV/atom
Symmetry   Pm (6)

---

Entry 2:
Material: KMg2Os
Method: DFT, PBE
State: optimized geometry

a = 4.735 Å, b = 4.735 Å, c = 7.345 Å
α = 86.80°, β = 86.80°, γ = 34.75°
Atoms (fractional coordinates):
Mg: 0.985 0.985 0.081
Mg: 0.515 0.515 0.419
K: 0.750 0.750 0.750
Os: 0.250 0.250 0.250

Energy relative to the elements   2.23 eV/f.u.
Distance to the lowest polymorph of the same formula   116 meV/atom
Symmetry   C2/m (12)

---

Entry 3:
Material: KMgOs3
Method: DFT, PBE
State: optimized geometry

a = 4.627 Å, b = 4.627 Å, c = 4.627 Å
α = 90.00°, β = 90.00°, γ = 90.00°
Site moments in Bohr magnetons follow the coordinates.
Atoms (fractional coordinates):
Os: 0.000 0.000 0.500  0.39
Os: 0.500 0.000 0.000  0.50
Os: 0.000 0.500 0.000  0.53
K: 0.000 0.000 0.000  0.00
Mg: 0.500 0.500 0.500  -0.01

Energy relative to the elements   17.41 eV/f.u.
Distance to the lowest polymorph of the same formula   963 meV/atom
Symmetry   Pm-3m (221)

---

Entry 4:
Material: K2MgOs
Method: DFT, PBE
State: optimized geometry

a = 2.921 Å, b = 2.921 Å, c = 12.043 Å
α = 90.00°, β = 90.00°, γ = 90.00°
Site moments in Bohr magnetons follow the coordinates.
Atoms (fractional coordinates):
K: 0.000 0.000 0.532  0.00
K: 0.000 0.000 0.968  0.00
Mg: 0.500 0.500 0.250  0.00
Os: 0.500 0.500 0.750  0.52

Energy relative to the elements   4.27 eV/f.u.
Symmetry   P4/mmm (123)

---

> What is the energy relative to the elements in the first record?

2.03 eV/f.u.